Entry 1:
Material: Th2As3RuRh4
Method: DFT, PBE
State: optimized geometry

Crystal system: tetragonal
DOS at the Fermi energy, states/eV/cell: 6.77
Uncorrected energy, eV/atom: -7.503
V, A^3/atom: 18.36

abc: 4.0458 4.0458 11.2175
angles: 90.00 90.00 90.00
Space group P-4m2 (No. 115)
Symmetry-distinct sites (fractional):
Th: 0.0000 0.5000 0.2369 x2
As: 0.0000 0.0000 0.0000 x1
As: 0.0000 0.5000 0.6277 x2
Ru: 0.5000 0.5000 0.0000 x1
Rh: 0.0000 0.0000 0.5000 x1
Rh: 0.0000 0.5000 0.8409 x2
Rh: 0.5000 0.5000 0.5000 x1



Entry 2:
Material: TbY2S3
Method: DFT, PBE
State: optimized geometry

Crystal system: orthorhombic
DOS at the Fermi energy, states/eV/cell: 4.80
Formation energy (no corrections), kJ/mol of formula units: -1158
V, A^3/atom: 21.31

abc: 3.9314 5.5365 11.7458
angles: 90.00 90.00 90.00
Space group Immm (No. 71)
Symmetry-distinct sites (fractional):
Tb: 0.0000 0.0000 0.0000 x2
Y: 0.0000 0.0000 0.3335 x4
S: 0.0000 0.5000 0.0000 x2
S: 0.0000 0.5000 0.3328 x4



Entry 3:
Material: MgMnN3
Method: DFT, PBE
State: optimized geometry

Crystal system: cubic
DOS at the Fermi energy, states/eV/cell: 4.04
Formation energy (no corrections), kJ/mol of formula units: 1044
V, A^3/atom: 11.00

abc: 3.8027 3.8027 3.8027
angles: 90.00 90.00 90.00
Space group Pm-3m (No. 221)
Symmetry-distinct sites (fractional):
Mg: 0.0000 0.0000 0.0000 x1
Mn: 0.5000 0.5000 0.5000 x1
N: 0.0000 0.0000 0.5000 x3



Entry 4:
Material: Sm4FeBr5
Method: DFT, PBE
State: optimized geometry

Crystal system: monoclinic
DOS at the Fermi energy, states/eV/cell: 9.32
Formation energy (no corrections), kJ/mol of formula units: -1241
V, A^3/atom: 32.07

abc: 18.2095 4.0366 9.0103
angles: 90.00 104.44 90.00
Space group C2/m (No. 12)
Symmetry-distinct sites (fractional):
Sm: 0.0005 0.0000 0.2282 x4
Sm: 0.1379 0.5000 0.0724 x4
Fe: 0.0000 0.5000 0.0000 x2
Br: 0.0000 0.5000 0.5000 x2
Br: 0.1677 0.0000 0.3241 x4
Br: 0.1708 0.0000 0.8474 x4



Entry 5:
Material: TbSi2PdPt5
Method: DFT, PBE
State: optimized geometry

Crystal system: tetragonal
DOS at the Fermi energy, states/eV/cell: 5.65
Formation energy (no corrections), kJ/mol of formula units: -483
V, A^3/atom: 19.43

abc: 4.0168 4.0168 10.8400
angles: 90.00 90.00 90.00
Space group P4/mmm (No. 123)
Symmetry-distinct sites (fractional):
Tb: 0.0000 0.0000 0.0000 x1
Si: 0.5000 0.5000 0.2161 x2
Pd: 0.0000 0.0000 0.5000 x1
Pt: 0.0000 0.5000 0.3288 x4
Pt: 0.5000 0.5000 0.0000 x1



Entry 6:
Material: Zr2TlGe2
Method: DFT, PBE
State: optimized geometry

Crystal system: tetragonal
DOS at the Fermi energy, states/eV/cell: 6.45
Uncorrected energy, eV/atom: -5.988
V, A^3/atom: 21.37

abc: 3.6684 3.6684 15.8809
angles: 90.00 90.00 90.00
Space group I4/mmm (No. 139)
Symmetry-distinct sites (fractional):
Zr: 0.0000 0.0000 0.1121 x4
Tl: 0.0000 0.0000 0.5000 x2
Ge: 0.0000 0.5000 0.2500 x4